Computed, not measured: ZnO2 after structural relaxation at the PBE level of DFT.

Spin magnetization = 0.00 μB/f.u.
Electronic total energy = -4.4583 eV/atom
Space-group type = Pa-3
Density of states at the Fermi level = 0.00 states/eV/f.u.

abc: 4.956 4.956 4.956
angles: 90.00 90.00 90.00
Atoms (fractional coordinates):
Zn: 0.000 0.000 0.000
Zn: 0.000 0.500 0.500
Zn: 0.500 0.000 0.500
Zn: 0.500 0.500 0.000
O: 0.087 0.587 0.913
O: 0.087 0.913 0.413
O: 0.413 0.087 0.913
O: 0.413 0.413 0.413
O: 0.587 0.587 0.587
O: 0.587 0.913 0.087
O: 0.913 0.087 0.587
O: 0.913 0.413 0.087